Zr2ZnSb: relaxed, PBE.

Formation energy (no corrections) in eV per atom: -0.312
Raw total energy in eV per cell: -23.739
Space-group type: No. 166

Lattice parameters (Å, degrees): 7.2116 7.2116 7.2116 31.48 31.48 31.48
Last column: nearest neighbours and their distance in Å.
Positions (direct):
1 Zr 0.2461 0.2461 0.2461  3 Zn 2.79, 3 Sb 2.88
2 Zr 0.7539 0.7539 0.7539  3 Zn 2.79, 3 Sb 2.88
3 Zn 0.5000 0.5000 0.5000  6 Zr 2.79
4 Sb 0.0000 0.0000 0.0000  6 Zr 2.88